Entry 1:
Here is Dy6Pd5Ru after structural relaxation from Alexandria. Energies are from PBE-GGA.

Results
DOS(E_F) = 6.08 states/eV per cell
Energy of formation from the pure elements = -0.816 eV/atom
ρ = 10.5 g/cm3

POSCAR file:
```
Dy6Pd5Ru
1.0
4.703 -0.028 1.567
0.037 6.931 0.012
0.007 -0.014 7.820
Ru Pd Dy
1 5 6
Direct
0.000 0.000 0.000
0.668 0.500 0.664
0.333 0.000 0.335
0.000 0.500 0.000
0.667 0.000 0.665
0.332 0.500 0.336
0.837 0.753 0.326
0.837 0.247 0.326
0.500 0.244 0.000
0.500 0.756 0.000
0.163 0.753 0.674
0.163 0.247 0.674
```

---

Entry 2:
Here is DyPdRu after structural relaxation from Alexandria. Energies are from PBE-GGA.

Results
DOS(E_F) = 6.56 states/eV per cell
Energy of formation from the pure elements = -0.265 eV/atom
ρ = 10.9 g/cm3

POSCAR file:
```
DyPdRu
1.0
-3.365 4.571 -0.348
0.784 -2.708 4.939
5.664 -0.613 0.034
Dy Pd Ru
2 2 2
Direct
0.250 0.629 0.879
0.750 0.371 0.121
0.000 0.000 0.500
0.500 0.500 0.500
0.250 0.950 0.200
0.750 0.050 0.800
```

---

Entry 3:
Here is Dy4PdRu after structural relaxation from Alexandria. Energies are from PBE-GGA.

Results
DOS(E_F) = 23.59 states/eV per cell
Excess energy over the best structure of this formula in the dataset = 0 meV/atom
Energy of formation from the pure elements = -0.456 eV/atom
ρ = 9.6 g/cm3

POSCAR file:
```
Dy4PdRu
1.0
8.174 0.000 4.719
2.725 7.706 4.719
0.000 0.000 9.438
Dy Pd Ru
16 4 4
Direct
0.398 0.398 0.398
0.805 0.398 0.398
0.398 0.805 0.398
0.398 0.398 0.805
0.557 0.557 0.943
0.943 0.943 0.557
0.557 0.943 0.557
0.943 0.557 0.943
0.943 0.557 0.557
0.557 0.943 0.943
0.188 0.188 0.812
0.812 0.812 0.188
0.188 0.812 0.188
0.812 0.188 0.812
0.812 0.188 0.188
0.188 0.812 0.812
0.159 0.159 0.159
0.522 0.159 0.159
0.159 0.522 0.159
0.159 0.159 0.522
0.611 0.611 0.611
0.168 0.611 0.611
0.611 0.168 0.611
0.611 0.611 0.168
```